# 1
# ScCl2

A relaxed ScCl2 crystal (PBE, Alexandria).

Output
- Crystal system: monoclinic
- Total magnetization: 0.72 μB/cell
- Raw total energy: -5.135 eV/atom
- Formation energy without anion corrections: -1.79 eV/atom

Geometry as POSCAR:
```
ScCl2
1.0
-6.3677 0.7368 -1.9792
-5.9926 -2.5671 -1.5832
-4.0585 0.2344 5.8006
Sc Cl
2 4
direct
0.1208 0.1208 0.9637 Sc
0.8792 0.8792 0.0363 Sc
0.5156 0.5156 0.7770 Cl
0.4844 0.4844 0.2230 Cl
0.2264 0.2264 0.2245 Cl
0.7736 0.7736 0.7755 Cl
```


# 2
# BaSrY2

A relaxed BaSrY2 crystal (PBE, Alexandria).

Output
- Crystal system: monoclinic
- Total magnetization: 0.52 μB/cell
- Raw total energy: -3.854 eV/atom
- Formation energy: 0.279 eV/atom
- Energy above the most stable polymorph in this dataset: 140 meV/atom

Geometry as POSCAR:
```
BaSrY2
1.0
-0.4857 -3.2395 -5.3864
3.7123 -0.2922 -0.1590
0.9557 -6.1562 3.6163
Sr Y Ba
1 2 1
direct
0.5000 0.7500 0.7500 Sr
0.0000 0.9610 0.9807 Y
0.0000 0.5390 0.5193 Y
0.5000 0.2500 0.2500 Ba
```


# 3
# CdMoRu2

A relaxed CdMoRu2 crystal (PBE, Alexandria).

Output
- Crystal system: tetragonal
- Total magnetization: 0.00 μB/cell
- Raw total energy: -7.314 eV/atom
- Formation energy: 0.260 eV/atom

Geometry as POSCAR:
```
CdMoRu2
1.0
-0.5359 -0.3904 -2.6753
-0.1547 -2.7184 0.4277
-8.2012 0.7088 1.5394
Ru Mo Cd
2 1 1
direct
0.5000 0.5000 0.2243 Ru
0.0000 0.0000 0.0194 Ru
0.5000 0.5000 0.7681 Mo
0.0000 0.0000 0.4881 Cd
```


# 4
# Ti2SnRh

A relaxed Ti2SnRh crystal (PBE, Alexandria).

Output
- Crystal system: orthorhombic
- Total magnetization: 0.01 μB/cell
- Raw total energy: -7.177 eV/atom
- Formation energy: -0.391 eV/atom

Geometry as POSCAR:
```
Ti2SnRh
1.0
-0.7908 -3.2313 -2.9798
3.7049 -1.1008 0.2104
-0.1694 -6.0801 6.6381
Sn Ti Rh
2 4 2
direct
0.2500 0.4299 0.1407 Sn
0.7500 0.5701 0.8593 Sn
0.7500 0.9399 0.1204 Ti
0.2500 0.2574 0.4847 Ti
0.2500 0.0601 0.8796 Ti
0.7500 0.7426 0.5153 Ti
0.2500 0.6672 0.6655 Rh
0.7500 0.3328 0.3345 Rh
```